[1]
Ca2MnCl2O2 after structural relaxation. Source: Alexandria, functional GGA+U.

a = 7.802 Å, b = 7.802 Å, c = 7.802 Å
α = 149.36°, β = 149.36°, γ = 43.88°
Fractional coordinates of all 7 atoms:
Ca 0.105 0.105 0.000
Ca 0.895 0.895 0.000
Mn 0.500 0.500 0.000
Cl 0.314 0.314 0.000
Cl 0.686 0.686 0.000
O 0.000 0.500 0.500
O 0.500 0.000 0.500

Output
**V**: 123 Å³/f.u.
**E**: -40.7 eV per cell
**DOS at the Fermi energy**: 0.07 states/eV per cell

=====

[2]
Ca2MnClO3 after structural relaxation. Source: Alexandria, functional GGA+U.

a = 7.196 Å, b = 7.196 Å, c = 7.196 Å
α = 54.61°, β = 54.61°, γ = 54.61°
Fractional coordinates of all 14 atoms:
Ca 0.000 0.000 0.000
Ca 0.000 0.000 0.500
Ca 0.000 0.500 0.000
Ca 0.500 0.000 0.000
Mn 0.412 0.412 0.412
Mn 0.588 0.588 0.588
Cl 0.272 0.272 0.272
Cl 0.728 0.728 0.728
O 0.237 0.742 0.742
O 0.258 0.258 0.763
O 0.258 0.763 0.258
O 0.742 0.237 0.742
O 0.742 0.742 0.237
O 0.763 0.258 0.258

Output
**V**: 115 Å³/f.u.
**E**: -85.8 eV per cell
**DOS at the Fermi energy**: 8.09 states/eV per cell

=====

[3]
CaMnCl2O after structural relaxation. Source: Alexandria, functional GGA+U.

a = 6.356 Å, b = 6.356 Å, c = 8.371 Å
α = 90.00°, β = 90.00°, γ = 145.28°
Fractional coordinates of all 10 atoms:
Ca 0.173 0.827 0.750
Ca 0.827 0.173 0.250
Mn 0.500 0.500 0.000
Mn 0.500 0.500 0.500
Cl 0.141 0.859 0.068
Cl 0.141 0.859 0.432
Cl 0.859 0.141 0.568
Cl 0.859 0.141 0.932
O 0.430 0.570 0.250
O 0.570 0.430 0.750

Output
**V**: 96 Å³/f.u.
**E**: -55.5 eV per cell
**DOS at the Fermi energy**: 0.00 states/eV per cell

=====

[4]
CaMn2Cl2O2 after structural relaxation. Source: Alexandria, functional GGA+U.

a = 6.032 Å, b = 6.032 Å, c = 6.327 Å
α = 93.65°, β = 93.65°, γ = 32.07°
Fractional coordinates of all 7 atoms:
Ca 0.000 0.000 0.000
Mn 0.236 0.236 0.793
Mn 0.764 0.764 0.207
Cl 0.130 0.130 0.393
Cl 0.870 0.870 0.607
O 0.359 0.359 0.075
O 0.641 0.641 0.925

Output
**V**: 122 Å³/f.u.
**E**: -43.5 eV per cell
**DOS at the Fermi energy**: 0.00 states/eV per cell

=====

[5]
CaMnClO2 after structural relaxation. Source: Alexandria, functional GGA+U.

a = 6.484 Å, b = 3.816 Å, c = 8.035 Å
α = 90.00°, β = 107.12°, γ = 90.00°
Fractional coordinates of all 10 atoms:
Ca 0.198 0.250 0.150
Ca 0.802 0.750 0.850
Mn 0.058 0.250 0.647
Mn 0.942 0.750 0.353
Cl 0.468 0.250 0.756
Cl 0.532 0.750 0.244
O 0.007 0.250 0.862
O 0.035 0.250 0.396
O 0.965 0.750 0.604
O 0.993 0.750 0.138

Output
**V**: 95 Å³/f.u.
**E**: -63.6 eV per cell

=====

Please write out number 5 again, unchanged.
CaMnClO2 after structural relaxation. Source: Alexandria, functional GGA+U.

a = 6.484 Å, b = 3.816 Å, c = 8.035 Å
α = 90.00°, β = 107.12°, γ = 90.00°
Fractional coordinates of all 10 atoms:
Ca 0.198 0.250 0.150
Ca 0.802 0.750 0.850
Mn 0.058 0.250 0.647
Mn 0.942 0.750 0.353
Cl 0.468 0.250 0.756
Cl 0.532 0.750 0.244
O 0.007 0.250 0.862
O 0.035 0.250 0.396
O 0.965 0.750 0.604
O 0.993 0.750 0.138

Output
**V**: 95 Å³/f.u.
**E**: -63.6 eV per cell